1.
The following is a DFT calculation (PBE) of a geometry-optimized KCePaO6 structure.

Summary:
* total magnetic moment: 2.02 μB per formula unit
* uncorrected formation energy: -2.51 eV/atom
* SG: P312
* crystal system: trigonal

```
KCePaO6
1.0
6.103 0.000 0.000
-3.052 5.286 0.000
0.000 0.000 4.897
K Ce Pa O
1 1 1 6
Direct
0.000 0.000 0.000
0.333 0.667 0.000
0.667 0.333 0.500
0.410 0.011 0.248
0.410 0.399 0.752
0.601 0.011 0.752
0.601 0.590 0.248
0.989 0.399 0.248
0.989 0.590 0.752
```



2.
The following is a DFT calculation (PBE) of a geometry-optimized ZnPt4Rh2 structure.

Summary:
* formation enthalpy at 0 K: 0.024 eV per atom
* total magnetic moment: 0.00 μB per formula unit
* distance to the lowest polymorph of the same formula: 3 meV/atom
* SG: P4/mmm
* crystal system: tetragonal

```
ZnPt4Rh2
1.0
6.473 0.000 0.000
0.000 6.473 0.000
0.000 0.000 2.723
Zn Pt Rh
1 4 2
Direct
0.000 0.000 0.000
0.289 0.289 0.000
0.289 0.711 0.000
0.711 0.289 0.000
0.711 0.711 0.000
0.000 0.500 0.500
0.500 0.000 0.500
```



3.
The following is a DFT calculation (PBE) of a geometry-optimized ReSiP2S structure.

Summary:
* total magnetic moment: 0.37 μB per formula unit
* uncorrected formation energy: 0.82 eV/atom
* distance to the lowest polymorph of the same formula: 0 meV/atom
* SG: P4/mmm
* crystal system: tetragonal

```
ReSiP2S
1.0
4.486 0.000 0.000
0.000 4.486 0.000
0.000 0.000 5.193
Re Si P S
1 1 2 1
Direct
0.000 0.000 0.000
0.500 0.500 0.500
0.000 0.500 0.000
0.500 0.000 0.000
0.000 0.000 0.500
```



4.
The following is a DFT calculation (PBE) of a geometry-optimized BaPmEu structure.

Summary:
* formation enthalpy at 0 K: 0.136 eV per atom
* total magnetic moment: 7.57 μB per formula unit
* distance to the lowest polymorph of the same formula: 4 meV/atom
* SG: P3m1
* crystal system: trigonal

```
BaPmEu
1.0
3.936 0.000 0.000
-1.968 3.409 0.000
0.000 0.000 9.753
Ba Pm Eu
1 1 1
Direct
0.000 0.000 0.000
0.667 0.333 0.337
0.333 0.667 0.639
```



5.
The following is a DFT calculation (PBE) of a geometry-optimized AcLa3Ge structure.

Summary:
* formation enthalpy at 0 K: -0.292 eV per atom
* total magnetic moment: 0.00 μB per formula unit
* SG: P2_1/c
* crystal system: monoclinic

```
AcLa3Ge
1.0
9.090 0.000 0.000
0.000 8.862 0.000
-5.340 0.000 8.603
Ac La Ge
4 12 4
Direct
0.192 0.064 0.285
0.192 0.436 0.785
0.808 0.564 0.215
0.808 0.936 0.715
0.129 0.695 0.084
0.129 0.805 0.584
0.269 0.052 0.957
0.269 0.448 0.457
0.427 0.105 0.689
0.427 0.395 0.189
0.573 0.605 0.811
0.573 0.895 0.311
0.731 0.552 0.543
0.731 0.948 0.043
0.871 0.195 0.416
0.871 0.305 0.916
0.412 0.729 0.990
0.412 0.771 0.490
0.588 0.229 0.510
0.588 0.271 0.010
```



6.
The following is a DFT calculation (PBE) of a geometry-optimized TbGa2Pt5 structure.

Summary:
* formation enthalpy at 0 K: -0.767 eV per atom
* total magnetic moment: 0.00 μB per formula unit
* SG: Immm
* crystal system: orthorhombic

```
TbGa2Pt5
1.0
-1.927 3.609 5.045
1.927 -3.609 5.045
1.927 3.609 -5.045
Tb Ga Pt
1 2 5
Direct
0.000 0.000 0.000
0.252 0.752 0.500
0.748 0.248 0.500
0.159 0.361 0.798
0.438 0.639 0.798
0.500 0.000 0.500
0.562 0.361 0.202
0.841 0.639 0.202
```



7.
The following is a DFT calculation (PBE) of a geometry-optimized SnBOF2 structure.

Summary:
* total magnetic moment: 0.29 μB per formula unit
* uncorrected formation energy: -0.53 eV/atom
* distance to the lowest polymorph of the same formula: 759 meV/atom
* SG: P4/mmm
* crystal system: tetragonal

```
SnBOF2
1.0
4.359 0.000 0.000
0.000 4.359 0.000
0.000 0.000 4.043
Sn B O F
1 1 1 2
Direct
0.000 0.000 0.000
0.500 0.500 0.500
0.000 0.000 0.500
0.000 0.500 0.000
0.500 0.000 0.000
```



8.
The following is a DFT calculation (PBE) of a geometry-optimized Tm6SnP2S3 structure.

Summary:
* total magnetic moment: 0.00 μB per formula unit
* uncorrected formation energy: -1.61 eV/atom
* SG: C2/m
* crystal system: monoclinic

```
Tm6SnP2S3
1.0
8.665 -1.967 0.000
8.665 1.967 0.000
-1.783 0.000 7.818
Tm Sn P S
6 1 2 3
Direct
0.003 0.003 0.270
0.327 0.327 0.903
0.329 0.329 0.422
0.671 0.671 0.578
0.673 0.673 0.097
0.997 0.997 0.730
0.500 0.500 0.000
0.168 0.168 0.336
0.832 0.832 0.664
0.166 0.166 0.832
0.500 0.500 0.500
0.834 0.834 0.168
```



9.
The following is a DFT calculation (PBE) of a geometry-optimized KLiCdBr4 structure.

Summary:
* total magnetic moment: 0.00 μB per formula unit
* uncorrected formation energy: -1.28 eV/atom
* SG: P2_1/m
* crystal system: monoclinic

```
KLiCdBr4
1.0
6.813 0.000 0.000
0.000 7.932 0.000
-1.705 0.000 8.759
K Li Cd Br
2 2 2 8
Direct
0.205 0.250 0.077
0.795 0.750 0.923
0.299 0.250 0.678
0.701 0.750 0.322
0.210 0.750 0.339
0.790 0.250 0.661
0.062 0.009 0.732
0.062 0.491 0.732
0.400 0.750 0.100
0.472 0.250 0.446
0.528 0.750 0.554
0.600 0.250 0.900
0.938 0.509 0.268
0.938 0.991 0.268
```



10.
The following is a DFT calculation (PBE) of a geometry-optimized Cs2K2Rb6Na structure.

Summary:
* formation enthalpy at 0 K: 0.031 eV per atom
* total magnetic moment: 0.00 μB per formula unit
* SG: P-1
* crystal system: triclinic

```
Cs2K2Rb6Na
1.0
9.162 0.000 0.000
-4.454 9.510 0.000
-1.674 -3.907 11.055
Cs K Rb Na
2 2 6 1
Direct
0.184 0.378 0.416
0.816 0.622 0.584
0.198 0.432 0.043
0.802 0.568 0.957
0.234 0.875 0.321
0.287 0.152 0.731
0.402 0.762 0.846
0.598 0.238 0.154
0.713 0.848 0.269
0.766 0.125 0.679
0.000 0.000 0.000
```



11.
The following is a DFT calculation (PBE) of a geometry-optimized Pm5SmMg6 structure.

Summary:
* formation enthalpy at 0 K: -0.108 eV per atom
* total magnetic moment: 0.00 μB per formula unit
* SG: Cmmm
* crystal system: orthorhombic

```
Pm5SmMg6
1.0
2.730 -8.190 0.000
2.730 8.190 0.000
0.000 0.000 7.731
Pm Sm Mg
5 1 6
Direct
0.000 0.000 0.000
0.333 0.667 0.000
0.334 0.666 0.500
0.666 0.334 0.500
0.667 0.333 0.000
0.000 0.000 0.500
0.167 0.833 0.251
0.167 0.833 0.749
0.500 0.500 0.250
0.500 0.500 0.750
0.833 0.167 0.251
0.833 0.167 0.749
```